Entry 1:
A plane-wave DFT calculation with PBE was carried out for an optimized crystal structure of Rb2NaCeH6.

DFT total energy ... -3.0700 eV/atom
Crystal system ... cubic
Calculated density ... 2.83 g/cm³

Lattice parameters (Å, degrees): 6.557 6.557 6.558 59.99 59.99 89.98
Fractional coordinates of all 10 atoms:
Rb: 0.250 0.750 0.500
Rb: 0.750 0.250 0.500
Na: 0.000 0.000 0.000
Ce: 0.500 0.500 0.000
H: 0.252 0.748 0.000
H: 0.748 0.748 0.000
H: 0.252 0.252 0.496
H: 0.748 0.252 0.000
H: 0.252 0.252 0.000
H: 0.748 0.748 0.504



Entry 2:
A plane-wave DFT calculation with PBE was carried out for an optimized crystal structure of Na2CeH12Rh3.

DFT total energy ... -4.2090 eV/atom
Crystal system ... trigonal
Calculated density ... 4.71 g/cm³

Lattice parameters (Å, degrees): 6.156 6.156 6.156 63.79 63.79 63.79
Fractional coordinates of all 18 atoms:
Na: 0.612 0.612 0.612
Na: 0.388 0.388 0.388
Ce: 0.000 0.000 0.000
H: 0.283 0.283 0.870
H: 0.860 0.860 0.444
H: 0.444 0.860 0.860
H: 0.870 0.283 0.283
H: 0.860 0.444 0.860
H: 0.283 0.870 0.283
H: 0.717 0.717 0.130
H: 0.140 0.140 0.556
H: 0.556 0.140 0.140
H: 0.130 0.717 0.717
H: 0.140 0.556 0.140
H: 0.717 0.130 0.717
Rh: 0.500 0.000 0.000
Rh: 0.000 0.500 0.000
Rh: 0.000 0.000 0.500



Entry 3:
A plane-wave DFT calculation with PBE was carried out for an optimized crystal structure of Ce2NbH.

DFT total energy ... -6.1537 eV/atom
Crystal system ... trigonal
Calculated density ... 8.44 g/cm³

Lattice parameters (Å, degrees): 3.073 3.073 9.176 80.36 80.36 60.00
Fractional coordinates of all 4 atoms:
H: 0.500 0.500 0.500
Nb: 0.000 0.000 0.000
Ce: 0.104 0.104 0.687
Ce: 0.896 0.896 0.313



Entry 4:
A plane-wave DFT calculation with PBE was carried out for an optimized crystal structure of CeNb2H.

DFT total energy ... -7.1773 eV/atom
Crystal system ... trigonal
Calculated density ... 8.48 g/cm³

Lattice parameters (Å, degrees): 2.982 2.982 8.486 79.88 79.88 60.00
Fractional coordinates of all 4 atoms:
H: 0.500 0.500 0.500
Nb: 0.115 0.115 0.654
Nb: 0.885 0.885 0.346
Ce: 0.000 0.000 0.000



Entry 5:
A plane-wave DFT calculation with PBE was carried out for an optimized crystal structure of CeNbH2.

DFT total energy ... -5.8818 eV/atom
Crystal system ... trigonal
Calculated density ... 7.99 g/cm³

Lattice parameters (Å, degrees): 3.045 3.045 6.332 76.09 76.09 60.00
Fractional coordinates of all 4 atoms:
H: 0.725 0.725 0.826
H: 0.275 0.275 0.174
Nb: 0.000 0.000 0.000
Ce: 0.500 0.500 0.500



Entry 6:
A plane-wave DFT calculation with PBE was carried out for an optimized crystal structure of Ce3NbH8.

DFT total energy ... -4.9987 eV/atom
Crystal system ... cubic
Calculated density ... 6.19 g/cm³

Lattice parameters (Å, degrees): 5.191 5.191 5.191 90.00 90.00 90.00
Fractional coordinates of all 12 atoms:
Ce: 0.500 0.500 0.000
Ce: 0.500 0.000 0.500
Ce: 0.000 0.500 0.500
Nb: 0.000 0.000 0.000
H: 0.220 0.220 0.780
H: 0.220 0.780 0.220
H: 0.780 0.220 0.220
H: 0.780 0.780 0.780
H: 0.780 0.780 0.220
H: 0.780 0.220 0.780
H: 0.220 0.780 0.780
H: 0.220 0.220 0.220



Entry 7:
A plane-wave DFT calculation with PBE was carried out for an optimized crystal structure of CeNb2H8.

DFT total energy ... -5.0559 eV/atom
Crystal system ... monoclinic
Calculated density ... 5.86 g/cm³

Lattice parameters (Å, degrees): 3.655 5.314 5.314 113.35 91.75 91.75
Fractional coordinates of all 11 atoms:
Ce: 0.500 0.000 0.000
Nb: 0.000 0.335 0.665
Nb: 0.000 0.665 0.335
H: 0.962 0.973 0.687
H: 0.962 0.687 0.973
H: 0.281 0.622 0.622
H: 0.500 0.737 0.263
H: 0.500 0.263 0.737
H: 0.719 0.378 0.378
H: 0.038 0.313 0.027
H: 0.038 0.027 0.313



Entry 8:
A plane-wave DFT calculation with PBE was carried out for an optimized crystal structure of CeNbH.

DFT total energy ... -6.3695 eV/atom
Crystal system ... monoclinic
Calculated density ... 7.94 g/cm³

Lattice parameters (Å, degrees): 6.684 6.659 6.763 124.95 125.06 80.62
Fractional coordinates of all 12 atoms:
H: 0.744 0.744 0.488
H: 0.257 0.257 0.513
H: 0.506 0.006 0.012
H: 0.993 0.493 0.987
Nb: 0.125 0.375 0.250
Nb: 0.125 0.875 0.750
Nb: 0.125 0.875 0.250
Nb: 0.625 0.875 0.750
Ce: 0.895 0.394 0.500
Ce: 0.645 0.644 0.000
Ce: 0.605 0.106 0.500
Ce: 0.355 0.356 0.000